# 1
PBE In3Cu5, optimized geometry; spin magnetization = 0.000 μB/f.u.; formation energy = 0.095 eV per atom; space group = No. 65
1.0
3.5462 -4.2671 0.0000
3.5462 4.2671 0.0000
0.0000 0.0000 4.2046
In Cu
3 5
Direct
0.7730 0.2270 0.5000
0.5000 0.5000 0.0000
0.2270 0.7730 0.5000
0.2595 0.2595 0.5000
0.0000 0.5000 0.0000
0.7405 0.7405 0.5000
0.0000 0.0000 0.0000
0.5000 0.0000 0.0000

=====

# 2
PBE In3Cu4, optimized geometry; spin magnetization = 0.000 μB/f.u.; formation energy = 0.446 eV per atom; space group = No. 191
1.0
2.9203 -5.0582 0.0000
2.9203 5.0582 0.0000
0.0000 0.0000 4.5605
In Cu
3 4
Direct
0.0000 0.5000 0.0000
0.5000 0.5000 0.0000
0.5000 0.0000 0.0000
0.6667 0.3333 0.5000
0.0000 0.0000 0.7514
0.0000 0.0000 0.2486
0.3333 0.6667 0.5000

=====

# 3
PBE In7Cu6, optimized geometry; spin magnetization = 0.000 μB/f.u.; formation energy = 0.415 eV per atom; space group = No. 166
1.0
-7.9666 -2.1178 -5.1468
-4.3584 -7.0443 -5.0817
-7.8365 -5.7426 -0.2337
Cu In
6 7
Direct
0.3348 0.3348 0.3348
0.1776 0.1776 0.1776
0.8224 0.8224 0.8224
0.6652 0.6652 0.6652
0.0885 0.0885 0.0885
0.9115 0.9115 0.9115
0.4221 0.9287 0.4221
0.9287 0.4221 0.4221
0.5779 0.0713 0.5779
0.0713 0.5779 0.5779
0.5779 0.5779 0.0713
0.4221 0.4221 0.9287
0.5000 0.5000 0.5000

=====

# 4
PBE In2Cu, optimized geometry; spin magnetization = 0.000 μB/f.u.; formation energy = 0.061 eV per atom; space group = No. 1
1.0
-2.1378 -3.0351 2.2541
4.6202 -2.4585 0.9527
-0.0527 5.5819 3.4018
In Cu
4 2
Direct
0.9366 0.4208 0.5740
0.5201 0.8682 0.7435
0.1895 0.3153 0.0911
0.7755 0.8030 0.2541
0.3611 0.1041 0.4243
0.5704 0.4090 0.8474

=====

# 5
PBE InCu, optimized geometry; spin magnetization = 0.000 μB/f.u.; formation energy = 0.047 eV per atom; space group = No. 194
1.0
-2.5681 2.9590 -1.6248
-1.5694 -3.7670 1.1566
-0.8611 1.7616 4.5692
Cu In
2 2
Direct
0.0000 0.0000 0.0000
0.0000 0.0000 0.5000
0.6667 0.3333 0.7500
0.3333 0.6667 0.2500

=====

# 6
PBE In2Cu, optimized geometry; spin magnetization = 0.000 μB/f.u.; formation energy = 0.134 eV per atom; space group = No. 140
1.0
-3.5556 3.5556 2.6228
3.5556 -3.5556 2.6228
3.5556 3.5556 -2.6228
In Cu
4 2
Direct
0.8449 0.6551 0.5000
0.1551 0.3449 0.5000
0.3449 0.8449 0.1898
0.6551 0.1551 0.8102
0.5000 0.5000 0.0000
0.0000 0.0000 0.0000

=====

# 7
PBE In2Cu, optimized geometry; spin magnetization = 0.000 μB/f.u.; formation energy = 0.106 eV per atom; space group = No. 58
1.0
-0.2178 -1.7080 2.7901
4.2223 -3.9707 -2.1012
4.8681 3.7580 2.6806
In Cu
4 2
Direct
0.0000 0.3737 0.7979
0.5000 0.8737 0.7021
0.0000 0.6263 0.2021
0.5000 0.1263 0.2979
0.5000 0.5000 0.5000
0.0000 0.0000 0.0000

=====

# 8
PBE In3Cu, optimized geometry; spin magnetization = 0.000 μB/f.u.; formation energy = 0.130 eV per atom; space group = No. 10
1.0
-2.0199 -3.1020 2.4413
2.4075 -2.8941 -1.6854
4.7240 -0.7208 2.9927
In Cu
3 1
Direct
0.0000 0.5000 0.5000
0.5000 0.1548 0.2172
0.5000 0.8452 0.7828
0.0000 0.0000 0.0000

=====

# 9
PBE In3Cu, optimized geometry; spin magnetization = 0.000 μB/f.u.; formation energy = 0.182 eV per atom; space group = No. 139
1.0
-1.9534 3.3161 -3.9000
-4.4063 2.6355 1.9132
5.0405 -0.6340 2.0527
In Cu
3 1
Direct
0.7500 0.2500 0.5000
0.2500 0.7500 0.5000
0.5000 0.5000 0.0000
0.0000 0.0000 0.0000

=====

# 10
PBE InCu, optimized geometry; spin magnetization = 0.000 μB/f.u.; formation energy = 0.252 eV per atom; space group = No. 225
1.0
3.8616 0.0000 0.0000
1.9308 3.3442 0.0000
1.9308 1.1147 3.1530
Cu In
1 1
Direct
0.0000 0.0000 0.0000
0.5000 0.5000 0.5000

=====

# 11
PBE In3Cu, optimized geometry; spin magnetization = 0.000 μB/f.u.; formation energy = 0.126 eV per atom; space group = No. 187
1.0
3.3999 0.0000 0.0000
-1.6999 2.9444 0.0000
0.0000 0.0000 9.3101
In Cu
3 1
Direct
0.0000 0.0000 0.5000
0.6667 0.3333 0.7906
0.6667 0.3333 0.2094
0.0000 0.0000 0.0000

=====

# 12
PBE InCu2, optimized geometry; spin magnetization = 0.000 μB/f.u.; formation energy = 0.237 eV per atom; space group = No. 141
1.0
-1.7987 1.7987 7.9638
1.7987 -1.7987 7.9638
1.7987 1.7987 -7.9638
Cu In
4 2
Direct
0.5761 0.5761 0.0000
0.4239 0.4239 0.0000
0.1739 0.6739 0.5000
0.3261 0.8261 0.5000
0.7500 0.2500 0.5000
0.0000 0.0000 0.0000

=====

# 13
PBE In3Cu, optimized geometry; spin magnetization = 0.000 μB/f.u.; formation energy = 0.109 eV per atom; space group = No. 59
1.0
-1.9564 -1.4240 -2.5531
5.7831 -3.5971 -2.4252
-1.6500 -5.6180 4.3979
In Cu
6 2
Direct
0.0000 0.1792 0.7933
0.0000 0.1792 0.2067
0.0000 0.4943 0.5000
0.5000 0.8208 0.2933
0.5000 0.8208 0.7067
0.5000 0.5057 0.0000
0.0000 0.8388 0.0000
0.5000 0.1612 0.5000

=====

# 14
PBE InCu, optimized geometry; spin magnetization = 0.000 μB/f.u.; formation energy = 0.139 eV per atom; space group = No. 19
1.0
5.1978 0.0000 0.0000
0.0000 6.1614 0.0000
0.0000 0.0000 9.4539
Cu In
8 8
Direct
0.5193 0.0815 0.8012
0.7379 0.5081 0.4172
0.9807 0.9185 0.3012
0.7621 0.4919 0.9172
0.0193 0.4185 0.1988
0.2379 0.9919 0.5828
0.2621 0.0081 0.0828
0.4807 0.5815 0.6988
0.5624 0.6526 0.1662
0.7648 0.0939 0.0573
0.7352 0.9061 0.5573
0.0624 0.8474 0.8338
0.4376 0.1526 0.3338
0.2648 0.4061 0.9427
0.9376 0.3474 0.6662
0.2352 0.5939 0.4427

=====

# 15
PBE In2Cu, optimized geometry; spin magnetization = 0.000 μB/f.u.; formation energy = 0.174 eV per atom; space group = No. 194
1.0
1.3492 0.8863 4.3153
-4.1043 -1.9438 -0.7771
3.0153 -6.5258 0.3975
In Cu
4 2
Direct
0.6667 0.3333 0.2500
0.0000 0.0000 0.0000
0.3333 0.6667 0.7500
0.0000 0.0000 0.5000
0.3333 0.6667 0.2500
0.6667 0.3333 0.7500

=====

# 16
PBE InCu, optimized geometry; spin magnetization = 0.000 μB/f.u.; formation energy = 0.133 eV per atom; space group = No. 194
1.0
-1.5703 3.3973 1.9415
1.3470 -3.2895 2.2674
9.4242 4.1308 0.3941
Cu In
4 4
Direct
0.0000 0.0000 0.7500
0.3333 0.6667 0.2500
0.6667 0.3333 0.7500
0.0000 0.0000 0.2500
0.6667 0.3333 0.0982
0.6667 0.3333 0.4018
0.3333 0.6667 0.5982
0.3333 0.6667 0.9018

=====

# 17
PBE InCu, optimized geometry; spin magnetization = 0.000 μB/f.u.; formation energy = 0.086 eV per atom; space group = No. 87
1.0
9.8284 0.0000 0.0000
0.0000 9.8284 0.0000
0.0000 0.0000 3.2127
In Cu
8 8
Direct
0.3127 0.6192 0.5000
0.1873 0.8808 0.0000
0.8127 0.1192 0.0000
0.3808 0.3127 0.5000
0.8808 0.8127 0.0000
0.6192 0.6873 0.5000
0.6873 0.3808 0.5000
0.1192 0.1873 0.0000
0.8849 0.5800 0.5000
0.0800 0.6151 0.0000
0.4200 0.8849 0.5000
0.9200 0.3849 0.0000
0.3849 0.0800 0.0000
0.1151 0.4200 0.5000
0.5800 0.1151 0.5000
0.6151 0.9200 0.0000

=====

# 18
PBE In2Cu, optimized geometry; spin magnetization = 0.000 μB/f.u.; formation energy = 0.115 eV per atom; space group = No. 139
1.0
6.6485 1.3952 0.0000
4.3752 5.1969 0.0000
-5.5119 -3.2960 2.2148
In Cu
2 1
Direct
0.6428 0.6428 0.0000
0.3572 0.3572 0.0000
0.0000 0.0000 0.0000

=====

# 19
PBE In2Cu, optimized geometry; spin magnetization = 0.000 μB/f.u.; formation energy = 0.118 eV per atom; space group = No. 164
1.0
-1.4569 -1.3513 -2.8145
0.3582 -1.9140 2.8422
-5.6717 1.9255 2.0114
In Cu
2 1
Direct
0.6667 0.3333 0.7026
0.3333 0.6667 0.2974
0.0000 0.0000 0.0000

=====

# 20
PBE InCu, optimized geometry; spin magnetization = 0.000 μB/f.u.; formation energy = 0.065 eV per atom; space group = No. 8
1.0
4.1209 -5.1091 0.6485
4.9102 -3.3460 2.8635
-1.5883 -4.7852 4.3748
Cu In
3 3
Direct
0.5675 0.5675 0.1748
0.6520 0.6520 0.7533
0.9612 0.9612 0.0024
0.3283 0.3283 0.4087
0.2803 0.2803 0.9564
0.0441 0.0441 0.5377

=====

# 21
PBE In3Cu, optimized geometry; spin magnetization = 0.000 μB/f.u.; formation energy = 0.235 eV per atom; space group = No. 166
1.0
-3.8794 -2.0672 -3.7268
3.0724 -3.9112 2.9112
-1.5401 4.7211 2.9243
In Cu
3 1
Direct
0.0000 0.5000 0.5000
0.5000 0.5000 0.0000
0.5000 0.0000 0.5000
0.0000 0.0000 0.0000

=====

# 22
PBE InCu, optimized geometry; spin magnetization = 0.000 μB/f.u.; formation energy = 0.173 eV per atom; space group = No. 141
1.0
-4.4403 2.5911 0.7566
-3.7690 -2.9942 1.9576
4.9524 0.8763 1.3072
In Cu
2 2
Direct
0.7500 0.2500 0.5000
0.5000 0.5000 0.0000
0.2500 0.7500 0.5000
0.0000 0.0000 0.0000

=====

# 23
PBE InCu, optimized geometry; spin magnetization = 0.000 μB/f.u.; formation energy = 0.065 eV per atom; space group = No. 194
1.0
7.8860 0.0000 0.0000
-3.9430 6.8295 0.0000
0.0000 0.0000 4.2947
Cu In
6 6
Direct
0.5591 0.1182 0.7500
0.4409 0.5591 0.2500
0.1182 0.5591 0.2500
0.8818 0.4409 0.7500
0.5591 0.4409 0.7500
0.4409 0.8818 0.2500
0.3628 0.1814 0.2500
0.1814 0.3628 0.7500
0.6372 0.8186 0.7500
0.8186 0.6372 0.2500
0.1814 0.8186 0.7500
0.8186 0.1814 0.2500

=====

# 24
PBE InCu2, optimized geometry; spin magnetization = 0.000 μB/f.u.; formation energy = 0.210 eV per atom; space group = No. 189
1.0
-5.7764 -0.7985 -2.8459
5.4448 -0.6793 -3.4636
0.0983 -4.1904 0.9763
Cu In
6 3
Direct
0.4443 0.0000 0.5000
0.0000 0.4443 0.5000
0.2261 0.0000 0.0000
0.5557 0.5557 0.5000
0.0000 0.2261 0.0000
0.7739 0.7739 0.0000
0.6667 0.3333 0.0000
0.0000 0.0000 0.5000
0.3333 0.6667 0.0000

=====

# 25
PBE InCu, optimized geometry; spin magnetization = 0.000 μB/f.u.; formation energy = 0.166 eV per atom; space group = No. 187
1.0
3.1491 0.0000 0.0000
-1.5746 2.7272 0.0000
0.0000 0.0000 4.2434
In Cu
1 1
Direct
0.6667 0.3333 0.5000
0.0000 0.0000 0.0000

=====

# 26
PBE InCu, optimized geometry; spin magnetization = 0.000 μB/f.u.; formation energy = 0.171 eV per atom; space group = No. 194
1.0
-0.2743 3.0706 -0.7103
-1.5185 -1.1848 2.5097
6.7079 1.7268 4.8740
In Cu
2 2
Direct
0.0000 0.0000 0.0000
0.0000 0.0000 0.5000
0.3333 0.6667 0.2500
0.6667 0.3333 0.7500